(1)
Density functional theory data (PBE) for an optimized crystal structure of La3Ni2Pt7.

The raw total energy is -6.57 eV per atom. Its crystal system is trigonal. Its calculated volume is 675.6 Å³/cell. Its formation energy is -10.59 eV/f.u.

It has space group R-3m (No. 166, hexagonal axes), with a = 5.4649 Å, b = 5.4649 Å, c = 26.1207 Å, α = 90.00°, β = 90.00° and γ = 120.00°. The asymmetric unit holds La at (0.0000, 0.0000, 0.0000), La at (0.0000, 0.0000, 0.1395), Ni at (0.0000, 0.0000, 0.3330), Pt at (0.0000, 0.0000, 0.5000) and Pt at (0.0023, 0.5012, 0.9207).


(2)
Density functional theory data (PBE) for an optimized crystal structure of La2Si4NiPt.

The raw total energy is -6.25 eV per atom. Its crystal system is orthorhombic. Its calculated volume is 302.2 Å³/cell.

It has space group Amm2 (No. 38), with a = 4.1765 Å, b = 4.2571 Å, c = 16.9976 Å, α = 90.00°, β = 90.00° and γ = 90.00°. The asymmetric unit holds La at (0.0000, 0.0000, 0.0000), La at (0.5000, 0.0000, 0.2058), Si at (0.0000, 0.0000, 0.6398), Si at (0.0000, 0.0000, 0.7835), Si at (0.5000, 0.0000, 0.4228), Si at (0.5000, 0.0000, 0.5665), Ni at (0.5000, 0.0000, 0.8539) and Pt at (0.0000, 0.0000, 0.3520).


(3)
Density functional theory data (PBE) for an optimized crystal structure of La2SmSi4Ni2Pt2.

The raw total energy is -6.39 eV per atom. Its crystal system is orthorhombic. Its calculated volume is 418.7 Å³/cell.

It has space group Immm (No. 71), with a = 4.1212 Å, b = 4.1985 Å, c = 24.2004 Å, α = 90.00°, β = 90.00° and γ = 90.00°. The asymmetric unit holds La at (0.0000, 0.0000, 0.1512), Sm at (0.0000, 0.5000, 0.0000), Si at (0.0000, 0.0000, 0.2968), Si at (0.0000, 0.5000, 0.4511), Ni at (0.0000, 0.5000, 0.2494) and Pt at (0.0000, 0.0000, 0.4007).


(4)
Density functional theory data (PBE) for an optimized crystal structure of LaSm2Ni8Pt.

The raw total energy is -5.86 eV per atom. Its crystal system is trigonal. Its calculated volume is 551.7 Å³/cell. Its formation energy is -5.37 eV/f.u.

It has space group R-3m (No. 166, hexagonal axes), with a = 5.0516 Å, b = 5.0516 Å, c = 24.9639 Å, α = 90.00°, β = 90.00° and γ = 120.00°. The asymmetric unit holds La at (0.0000, 0.0000, 0.0000), Sm at (0.0000, 0.0000, 0.1377), Ni at (0.0000, 0.0000, 0.3330), Ni at (0.0031, 0.5015, 0.9200) and Pt at (0.0000, 0.0000, 0.5000).


(5)
Density functional theory data (PBE) for an optimized crystal structure of LaSm2Ni3Pt6.

The raw total energy is -6.45 eV per atom. Its crystal system is trigonal. Its calculated volume is 643.5 Å³/cell. Its formation energy is -9.98 eV/f.u.

It has space group R-3m (No. 166, hexagonal axes), with a = 5.4367 Å, b = 5.4367 Å, c = 25.1387 Å, α = 90.00°, β = 90.00° and γ = 120.00°. The asymmetric unit holds La at (0.0000, 0.0000, 0.0000), Sm at (0.0000, 0.0000, 0.1407), Ni at (0.0000, 0.0000, 0.3329), Ni at (0.0000, 0.0000, 0.5000) and Pt at (0.0009, 0.5004, 0.9167).


(6)
Density functional theory data (PBE) for an optimized crystal structure of La2SmNi7Pt2.

The raw total energy is -5.94 eV per atom. Its crystal system is trigonal. Its calculated volume is 577.7 Å³/cell. Its formation energy is -5.62 eV/f.u.

It has space group R-3m (No. 166, hexagonal axes), with a = 5.1187 Å, b = 5.1187 Å, c = 25.4581 Å, α = 90.00°, β = 90.00° and γ = 120.00°. The asymmetric unit holds La at (0.0000, 0.0000, 0.1387), Sm at (0.0000, 0.0000, 0.0000), Ni at (0.0000, 0.0000, 0.5000), Ni at (0.0020, 0.5010, 0.0843) and Pt at (0.0000, 0.0000, 0.3320).